Entry 1:
An optimized crystal structure of Cs12H5Se3. Source: Alexandria, functional PBE-GGA.

Lattice parameters (Å, degrees): 16.830 16.830 16.830 109.47 109.47 109.47
Fractional coordinates of all 80 atoms:
Se 0.750 0.375 0.125
Se 0.875 0.750 0.125
Se 0.375 0.750 0.625
Se 0.250 0.125 0.375
Se 0.875 0.125 0.250
Se 0.375 0.625 0.250
Se 0.625 0.375 0.750
Se 0.125 0.875 0.750
Se 0.750 0.875 0.625
Se 0.625 0.250 0.375
Se 0.125 0.250 0.875
Se 0.250 0.625 0.875
H 0.125 0.375 0.250
H 0.000 0.500 0.000
H 0.000 0.000 0.000
H 0.375 0.250 0.125
H 0.500 0.000 0.500
H 0.500 0.500 0.000
H 0.125 0.750 0.375
H 0.750 0.125 0.875
H 0.750 0.625 0.375
H 0.375 0.125 0.750
H 0.625 0.875 0.250
H 0.500 0.500 0.500
H 0.500 0.000 0.000
H 0.000 0.000 0.500
H 0.250 0.375 0.625
H 0.250 0.875 0.125
H 0.000 0.500 0.500
H 0.875 0.250 0.625
H 0.625 0.750 0.875
H 0.875 0.625 0.750
Cs 0.713 0.129 0.034
Cs 0.322 0.534 0.405
Cs 0.966 0.371 0.287
Cs 0.534 0.213 0.129
Cs 0.583 0.713 0.678
Cs 0.966 0.595 0.178
Cs 0.322 0.787 0.417
Cs 0.095 0.917 0.129
Cs 0.595 0.966 0.678
Cs 0.713 0.583 0.178
Cs 0.787 0.466 0.371
Cs 0.822 0.905 0.034
Cs 0.129 0.713 0.534
Cs 0.371 0.405 0.083
Cs 0.083 0.905 0.371
Cs 0.417 0.129 0.595
Cs 0.083 0.178 0.213
Cs 0.466 0.678 0.095
Cs 0.822 0.917 0.287
Cs 0.129 0.417 0.095
Cs 0.371 0.966 0.787
Cs 0.595 0.629 0.417
Cs 0.905 0.822 0.534
Cs 0.787 0.322 0.917
Cs 0.405 0.371 0.583
Cs 0.095 0.178 0.466
Cs 0.213 0.678 0.083
Cs 0.178 0.083 0.713
Cs 0.629 0.034 0.213
Cs 0.871 0.583 0.905
Cs 0.534 0.322 0.905
Cs 0.583 0.871 0.405
Cs 0.917 0.822 0.787
Cs 0.917 0.095 0.629
Cs 0.871 0.287 0.466
Cs 0.178 0.095 0.966
Cs 0.629 0.595 0.917
Cs 0.405 0.034 0.322
Cs 0.287 0.417 0.822
Cs 0.213 0.534 0.629
Cs 0.905 0.083 0.871
Cs 0.678 0.213 0.583
Cs 0.466 0.787 0.871
Cs 0.034 0.405 0.822
Cs 0.417 0.287 0.322
Cs 0.034 0.629 0.713
Cs 0.678 0.466 0.595
Cs 0.287 0.871 0.966

Entry 2:
An optimized crystal structure of Zr2CuGeTe. Source: Alexandria, functional PBE-GGA.

Computed properties:
- formation energy without anion corrections (kJ per mole of atoms) = 70.81

Lattice parameters (Å, degrees): 5.072 5.248 5.072 90.00 90.00 90.00
Fractional coordinates of all 5 atoms:
Ge 0.000 0.000 0.000
Te 0.000 0.500 0.000
Cu 0.500 0.500 0.500
Zr 0.000 0.000 0.500
Zr 0.500 0.000 0.000

Entry 3:
An optimized crystal structure of Tl2PSeI. Source: Alexandria, functional PBE-GGA.

Computed properties:
- formation energy without anion corrections (kJ per mole of atoms) = 1.94

Lattice parameters (Å, degrees): 6.346 6.346 4.670 90.00 90.00 90.00
Fractional coordinates of all 5 atoms:
I 0.500 0.500 0.500
P 0.000 0.000 0.500
Tl 0.000 0.500 0.000
Tl 0.500 0.000 0.000
Se 0.000 0.000 0.000

no.,calculated total energy (eV/atom)
1,-2.3784
2,-5.0564
3,-3.0153